# 1
# meta-GGA SCAN TiSeS2Cl, single point on PBEsol structure
data_TiSeS2Cl
_chemical_formula_sum 'Ti1 Se1 S2 Cl1'
_space_group_name_H-M_alt 'P 4/m m m'
_space_group_IT_number 123
_space_group_name_Hall '-P 4 2'
_cell_length_a 4.7027
_cell_length_b 4.7027
_cell_length_c 4.5470
_cell_angle_alpha 90.00
_cell_angle_beta 90.00
_cell_angle_gamma 90.00
loop_
_atom_site_label
_atom_site_fract_x
_atom_site_fract_y
_atom_site_fract_z
Ti1 0.0000 0.0000 0.0000
Se1 0.5000 0.5000 0.5000
S1 0.0000 0.5000 0.0000
Cl1 0.0000 0.0000 0.5000
# E_form (uncorrected) (meV/atom): -345
# M_tot (μB per cell): 1.6

***

# 2
# meta-GGA SCAN TlSeS2Cl, single point on PBEsol structure
data_TlSeS2Cl
_chemical_formula_sum 'Tl1 Se1 S2 Cl1'
_space_group_name_H-M_alt 'P 4/m m m'
_space_group_IT_number 123
_space_group_name_Hall '-P 4 2'
_cell_length_a 4.8031
_cell_length_b 4.8031
_cell_length_c 5.0865
_cell_angle_alpha 90.00
_cell_angle_beta 90.00
_cell_angle_gamma 90.00
loop_
_atom_site_label
_atom_site_fract_x
_atom_site_fract_y
_atom_site_fract_z
Tl1 0.0000 0.0000 0.0000
Se1 0.5000 0.5000 0.5000
S1 0.0000 0.5000 0.5000
Cl1 0.5000 0.5000 0.0000
# E_form (uncorrected) (meV/atom): 20
# M_tot (μB per cell): 0.0

***

# 3
# meta-GGA SCAN SiSCl2, single point on PBEsol structure
data_SiSCl2
_chemical_formula_sum 'Si4 S4 Cl8'
_space_group_name_H-M_alt 'F m -3 m'
_space_group_IT_number 225
_space_group_name_Hall '-F 4 2 3'
_cell_length_a 6.6611
_cell_length_b 6.6611
_cell_length_c 6.6611
_cell_angle_alpha 90.00
_cell_angle_beta 90.00
_cell_angle_gamma 90.00
loop_
_atom_site_label
_atom_site_fract_x
_atom_site_fract_y
_atom_site_fract_z
Si1 0.0000 0.0000 0.0000
S1 0.0000 0.0000 0.5000
Cl1 0.2500 0.2500 0.2500
# E_form (uncorrected) (meV/atom): 671
# M_tot (μB per cell): 8.0